Record 1
This record from Alexandria describes crystalline ZrCo2Br at its relaxed geometry. The functional is GGA-PBE.

E above lowest polymorph, eV per atom: 0.454

Unit cell a=3.2347 b=3.2347 c=23.1224 alpha=90.00 beta=90.00 gamma=120.00
Space group R-3m (No. 166, hexagonal axes)
Symmetry-distinct sites (fractional):
Zr 0.0000 0.0000 0.0000 x3
Co 0.0000 0.0000 0.2509 x6
Br 0.0000 0.0000 0.5000 x3

***

Record 2
This record from Alexandria describes crystalline ZrCoBr2 at its relaxed geometry. The functional is GGA-PBE.

E above lowest polymorph, eV per atom: 0.598

Unit cell a=6.3129 b=8.8212 c=3.4526 alpha=90.00 beta=119.99 gamma=90.00
Space group C2/m (No. 12)
Symmetry-distinct sites (fractional):
Zr 0.0000 0.0000 0.0000 x2
Co 0.0000 0.5000 0.0000 x2
Br 0.2500 0.2500 0.0000 x4

***

Record 3
This record from Alexandria describes crystalline Zr3CoBr at its relaxed geometry. The functional is GGA-PBE.

E above lowest polymorph, eV per atom: 0.000

Unit cell a=4.9088 b=4.9088 c=4.9088 alpha=90.00 beta=90.00 gamma=90.00
Space group Pm-3m (No. 221)
Symmetry-distinct sites (fractional):
Zr 0.0000 0.0000 0.5000 x3
Co 0.0000 0.0000 0.0000 x1
Br 0.5000 0.5000 0.5000 x1

***

Record 4
This record from Alexandria describes crystalline ZrCoBr4 at its relaxed geometry. The functional is GGA-PBE.

Raw total energy, Ha/atom: -0.099

Unit cell a=8.5516 b=8.5516 c=8.5516 alpha=90.00 beta=90.00 gamma=90.00
Space group F-43m (No. 216)
Symmetry-distinct sites (fractional):
Zr 0.0000 0.0000 0.0000 x4
Co 0.2500 0.2500 0.2500 x4
Br 0.1249 0.1249 0.6249 x16

***

Record 5
This record from Alexandria describes crystalline ZrCo2Br at its relaxed geometry. The functional is GGA-PBE.

E above lowest polymorph, eV per atom: 0.000

Unit cell a=6.5541 b=3.7813 c=6.5526 alpha=90.00 beta=90.19 gamma=90.00
Space group Cm (No. 8)
Symmetry-distinct sites (fractional):
Zr 0.0000 0.0000 0.0000 x2
Co 0.1658 0.5000 0.7500 x2
Co 0.3327 0.0000 0.7653 x2
Br 0.1677 0.5000 0.2970 x2

***

Record 6
This record from Alexandria describes crystalline ZrCoBr2 at its relaxed geometry. The functional is GGA-PBE.

E above lowest polymorph, eV per atom: 0.099

Unit cell a=3.5275 b=3.8898 c=15.4903 alpha=90.00 beta=90.00 gamma=90.00
Space group Immm (No. 71)
Symmetry-distinct sites (fractional):
Zr 0.0000 0.0000 0.0000 x2
Co 0.0000 0.0000 0.5000 x2
Br 0.0000 0.5000 0.3606 x4

***

So what do the calculations give for N(E_F)? Going down the list: 14.32, 12.25, 9.90, 33.41, 4.03, 8.62 states/eV per cell.